# 1
The following is a DFT calculation (PBE-GGA) of a relaxed structure of HfSiSe4.

a = 6.059 Å, b = 6.059 Å, c = 9.867 Å
α = 90.00°, β = 90.00°, γ = 90.00°
Positions (direct):
Hf: 0.000 0.000 0.000
Hf: 0.000 0.000 0.500
Si: 0.000 0.500 0.250
Si: 0.500 0.000 0.750
Se: 0.237 0.284 0.376
Se: 0.237 0.716 0.124
Se: 0.284 0.237 0.876
Se: 0.284 0.763 0.624
Se: 0.716 0.237 0.624
Se: 0.716 0.763 0.876
Se: 0.763 0.284 0.124
Se: 0.763 0.716 0.376

Output
The uncorrected formation energy comes out at -4.042 eV per formula unit.

# 2
The following is a DFT calculation (PBE-GGA) of a relaxed structure of CeSn4Se7.

a = 7.187 Å, b = 7.187 Å, c = 12.937 Å
α = 102.15°, β = 102.15°, γ = 33.31°
Positions (direct):
Ce: 0.000 0.000 0.000
Sn: 0.090 0.090 0.431
Sn: 0.257 0.257 0.863
Sn: 0.415 0.415 0.586
Sn: 0.757 0.757 0.245
Se: 0.061 0.061 0.628
Se: 0.116 0.116 0.225
Se: 0.381 0.381 0.063
Se: 0.449 0.449 0.377
Se: 0.637 0.637 0.983
Se: 0.732 0.732 0.463
Se: 0.872 0.872 0.796

Output
The uncorrected formation energy comes out at -8.123 eV per formula unit.

# 3
The following is a DFT calculation (PBE-GGA) of a relaxed structure of Pm5Al2Ge5.

a = 7.864 Å, b = 7.864 Å, c = 11.709 Å
α = 128.16°, β = 128.16°, γ = 31.10°
Positions (direct):
Pm: 0.000 0.000 0.000
Pm: 0.106 0.106 0.426
Pm: 0.201 0.201 0.832
Pm: 0.799 0.799 0.168
Pm: 0.894 0.894 0.574
Al: 0.359 0.359 0.741
Al: 0.641 0.641 0.259
Ge: 0.255 0.255 0.318
Ge: 0.435 0.435 0.144
Ge: 0.500 0.500 0.500
Ge: 0.565 0.565 0.856
Ge: 0.745 0.745 0.682

Output
For the formation enthalpy at 0 K, the calculation gives -0.709 eV/atom.

Number 1 is which compound? HfSiSe4